1.
SrFeGe2Bi | PBE-GGA | relaxed

ΔH_f (0 K) = 1.411 eV/atom
magnetic moment = 2.63 μB per cell
calculated total energy = -3.2415 eV/atom
SG = P4/mmm, No. 123

Lattice parameters (Å, degrees): 5.428 5.428 4.917 90.00 90.00 90.00
Sites, in units of the cell vectors:
Sr  0.000  0.000  0.000
Fe  0.000  0.000  0.500
Ge  0.000  0.500  0.000
Ge  0.500  0.000  0.000
Bi  0.500  0.500  0.500

2.
SrTl2Re | PBE-GGA | relaxed

ΔH_f (0 K) = 0.812 eV/atom
magnetic moment = 1.90 μB per cell
calculated total energy = -3.9036 eV/atom
SG = P4/mmm, No. 123
relative energy among the computed polymorphs = 241 meV per atom

Lattice parameters (Å, degrees): 4.715 4.715 4.561 90.00 90.00 90.00
Sites, in units of the cell vectors:
Sr  0.000  0.000  0.000
Tl  0.000  0.500  0.500
Tl  0.500  0.000  0.500
Re  0.500  0.500  0.000